#P
Here is crystalline LiBeTl2 at its relaxed geometry from the Alexandria database. Energies are from PBE-GGA.

CIF file:
```
data_LiBeTl2
_chemical_formula_sum 'Li1 Be1 Tl2'
_cell_length_a 3.399
_cell_length_b 3.399
_cell_length_c 7.119
_cell_angle_alpha 90.00
_cell_angle_beta 90.00
_cell_angle_gamma 98.89
_space_group_name_H-M_alt 'P 1'
_space_group_IT_number 1
loop_
_space_group_symop_operation_xyz
'x,y,z'
loop_
_atom_site_label
_atom_site_fract_x
_atom_site_fract_y
_atom_site_fract_z
Li1 0.000 0.000 0.000
Be1 0.000 0.000 0.500
Tl1 0.500 0.500 0.270
Tl2 0.500 0.500 0.730
```

## Properties
**Volume**: 81 Å³ per cell
**D(E_F)**: 0.341 states/eV per atom

=====

#Q
Here is crystalline LiBeTl2 at its relaxed geometry from the Alexandria database. Energies are from PBE-GGA.

CIF file:
```
data_LiBeTl2
_chemical_formula_sum 'Li1 Be1 Tl2'
_cell_length_a 4.830
_cell_length_b 4.830
_cell_length_c 4.830
_cell_angle_alpha 60.00
_cell_angle_beta 60.00
_cell_angle_gamma 60.00
_space_group_name_H-M_alt 'P 1'
_space_group_IT_number 1
loop_
_space_group_symop_operation_xyz
'x,y,z'
loop_
_atom_site_label
_atom_site_fract_x
_atom_site_fract_y
_atom_site_fract_z
Li1 0.000 0.000 0.000
Be1 0.500 0.500 0.500
Tl1 0.250 0.250 0.250
Tl2 0.750 0.750 0.750
```

## Properties
**Volume**: 80 Å³ per cell
**D(E_F)**: 0.694 states/eV per atom

=====

#R
Here is crystalline LiBeTl2 at its relaxed geometry from the Alexandria database. Energies are from PBE-GGA.

CIF file:
```
data_LiBeTl2
_chemical_formula_sum 'Li1 Be1 Tl2'
_cell_length_a 3.292
_cell_length_b 4.168
_cell_length_c 6.272
_cell_angle_alpha 90.00
_cell_angle_beta 102.08
_cell_angle_gamma 90.00
_space_group_name_H-M_alt 'P 1'
_space_group_IT_number 1
loop_
_space_group_symop_operation_xyz
'x,y,z'
loop_
_atom_site_label
_atom_site_fract_x
_atom_site_fract_y
_atom_site_fract_z
Li1 0.000 0.000 0.000
Be1 0.500 0.000 0.500
Tl1 0.353 0.500 0.736
Tl2 0.647 0.500 0.264
```

## Properties
**Volume**: 84 Å³ per cell
**D(E_F)**: 0.248 states/eV per atom

=====

#S
Here is crystalline LiBeTl2 at its relaxed geometry from the Alexandria database. Energies are from PBE-GGA.

CIF file:
```
data_LiBeTl2
_chemical_formula_sum 'Li1 Be1 Tl2'
_cell_length_a 4.774
_cell_length_b 4.774
_cell_length_c 3.506
_cell_angle_alpha 90.00
_cell_angle_beta 90.00
_cell_angle_gamma 90.00
_space_group_name_H-M_alt 'P 1'
_space_group_IT_number 1
loop_
_space_group_symop_operation_xyz
'x,y,z'
loop_
_atom_site_label
_atom_site_fract_x
_atom_site_fract_y
_atom_site_fract_z
Li1 0.000 0.000 0.000
Be1 0.500 0.500 0.000
Tl1 0.000 0.500 0.500
Tl2 0.500 0.000 0.500
```

## Properties
**Volume**: 80 Å³ per cell
**D(E_F)**: 0.373 states/eV per atom

=====

The least stable of them is #S.

=====

#P
Here is crystalline LiBeTl2 at its relaxed geometry from the Alexandria database. Energies are from PBE-GGA.

CIF file:
```
data_LiBeTl2
_chemical_formula_sum 'Li1 Be1 Tl2'
_cell_length_a 4.490
_cell_length_b 5.377
_cell_length_c 5.377
_cell_angle_alpha 38.18
_cell_angle_beta 90.00
_cell_angle_gamma 90.00
_space_group_name_H-M_alt 'P 1'
_space_group_IT_number 1
loop_
_space_group_symop_operation_xyz
'x,y,z'
loop_
_atom_site_label
_atom_site_fract_x
_atom_site_fract_y
_atom_site_fract_z
Li1 0.000 0.000 0.000
Be1 0.500 0.160 0.160
Tl1 0.000 0.719 0.719
Tl2 0.500 0.432 0.432
```

## Properties
**Volume**: 80 Å³ per cell
**D(E_F)**: 0.360 states/eV per atom

=====

#Q
Here is crystalline LiBeTl2 at its relaxed geometry from the Alexandria database. Energies are from PBE-GGA.

CIF file:
```
data_LiBeTl2
_chemical_formula_sum 'Li1 Be1 Tl2'
_cell_length_a 3.515
_cell_length_b 3.515
_cell_length_c 6.717
_cell_angle_alpha 90.00
_cell_angle_beta 90.00
_cell_angle_gamma 93.37
_space_group_name_H-M_alt 'P 1'
_space_group_IT_number 1
loop_
_space_group_symop_operation_xyz
'x,y,z'
loop_
_atom_site_label
_atom_site_fract_x
_atom_site_fract_y
_atom_site_fract_z
Li1 0.000 0.000 0.000
Be1 0.500 0.500 0.819
Tl1 0.000 0.000 0.592
Tl2 0.500 0.500 0.241
```

## Properties
**Volume**: 83 Å³ per cell
**D(E_F)**: 0.215 states/eV per atom

=====

#R
Here is crystalline LiBeTl2 at its relaxed geometry from the Alexandria database. Energies are from PBE-GGA.

CIF file:
```
data_LiBeTl2
_chemical_formula_sum 'Li1 Be1 Tl2'
_cell_length_a 6.521
_cell_length_b 6.521
_cell_length_c 6.521
_cell_angle_alpha 150.73
_cell_angle_beta 141.48
_cell_angle_gamma 49.10
_space_group_name_H-M_alt 'P 1'
_space_group_IT_number 1
loop_
_space_group_symop_operation_xyz
'x,y,z'
loop_
_atom_site_label
_atom_site_fract_x
_atom_site_fract_y
_atom_site_fract_z
Li1 0.000 0.000 0.000
Be1 0.808 0.308 0.500
Tl1 0.330 0.830 0.500
Tl2 0.609 0.609 0.000
```

## Properties
**Volume**: 84 Å³ per cell
**D(E_F)**: 0.373 states/eV per atom

=====

#S
Here is crystalline LiBeTl2 at its relaxed geometry from the Alexandria database. Energies are from PBE-GGA.

CIF file:
```
data_LiBeTl2
_chemical_formula_sum 'Li1 Be1 Tl2'
_cell_length_a 3.606
_cell_length_b 4.612
_cell_length_c 5.208
_cell_angle_alpha 90.00
_cell_angle_beta 103.05
_cell_angle_gamma 90.00
_space_group_name_H-M_alt 'P 1'
_space_group_IT_number 1
loop_
_space_group_symop_operation_xyz
'x,y,z'
loop_
_atom_site_label
_atom_site_fract_x
_atom_site_fract_y
_atom_site_fract_z
Li1 0.000 0.000 0.000
Be1 0.586 0.500 0.737
Tl1 0.333 0.000 0.562
Tl2 0.694 0.500 0.242
```

## Properties
**Volume**: 84 Å³ per cell
**D(E_F)**: 0.252 states/eV per atom

=====

The least stable of them is #Q.

=====

#P
Here is crystalline LiBeTl2 at its relaxed geometry from the Alexandria database. Energies are from PBE-GGA.

CIF file:
```
data_LiBeTl2
_chemical_formula_sum 'Li1 Be1 Tl2'
_cell_length_a 3.579
_cell_length_b 4.092
_cell_length_c 5.543
_cell_angle_alpha 90.00
_cell_angle_beta 90.00
_cell_angle_gamma 90.00
_space_group_name_H-M_alt 'P 1'
_space_group_IT_number 1
loop_
_space_group_symop_operation_xyz
'x,y,z'
loop_
_atom_site_label
_atom_site_fract_x
_atom_site_fract_y
_atom_site_fract_z
Li1 0.000 0.000 0.000
Be1 0.500 0.500 0.710
Tl1 0.000 0.000 0.531
Tl2 0.500 0.500 0.196
```

## Properties
**Volume**: 81 Å³ per cell
**D(E_F)**: 0.285 states/eV per atom

=====

#Q
Here is crystalline LiBeTl2 at its relaxed geometry from the Alexandria database. Energies are from PBE-GGA.

CIF file:
```
data_LiBeTl2
_chemical_formula_sum 'Li1 Be1 Tl2'
_cell_length_a 5.766
_cell_length_b 5.766
_cell_length_c 5.766
_cell_angle_alpha 138.87
_cell_angle_beta 138.87
_cell_angle_gamma 59.57
_space_group_name_H-M_alt 'P 1'
_space_group_IT_number 1
loop_
_space_group_symop_operation_xyz
'x,y,z'
loop_
_atom_site_label
_atom_site_fract_x
_atom_site_fract_y
_atom_site_fract_z
Li1 0.000 0.000 0.000
Be1 0.750 0.250 0.500
Tl1 0.250 0.750 0.500
Tl2 0.500 0.500 0.000
```

## Properties
**Volume**: 82 Å³ per cell
**D(E_F)**: 0.316 states/eV per atom

=====

The least stable of them is #Q.